A plane-wave DFT calculation with PBE-GGA was carried out for a geometry-optimized NiTeMo2 structure.

Geometry as POSCAR:
```
NiTeMo2
1.0
4.547 0.000 0.000
0.000 4.547 0.000
0.000 0.000 3.075
Ni Te Mo
1 1 2
Direct
0.500 0.000 0.500
0.000 0.500 0.500
0.500 0.500 0.000
0.000 0.000 0.000
```

- total energy (eV/atom) = -7.277
- E_form (uncorrected) (eV/atom) = 0.370
- space-group type = P4/mmm



A plane-wave DFT calculation with PBE-GGA was carried out for a geometry-optimized NiTe2Mo structure.

Geometry as POSCAR:
```
NiTe2Mo
1.0
-3.048 0.014 -1.437
-0.203 -3.340 0.397
-2.752 0.863 5.848
Ni Mo Te
1 1 2
Direct
0.500 0.500 0.750
0.500 0.500 0.250
0.000 0.000 0.500
0.000 0.000 0.000
```

- total energy (eV/atom) = -5.494
- E_form (uncorrected) (eV/atom) = 0.230
- space-group type = P4/mmm



A plane-wave DFT calculation with PBE-GGA was carried out for a geometry-optimized NiTe2Mo structure.

Geometry as POSCAR:
```
NiTe2Mo
1.0
4.821 0.000 0.000
2.410 4.175 0.000
2.410 1.392 3.936
Te Mo Ni
2 1 1
Direct
0.250 0.250 0.250
0.000 0.000 0.000
0.500 0.500 0.500
0.750 0.750 0.750
```

- total energy (eV/atom) = -4.831
- E_form (uncorrected) (eV/atom) = 0.893
- space-group type = F-43m



The highest E_form (uncorrected) belongs to which entry? number 3



Look up the E_form (uncorrected) of the first one. 0.370 eV/atom



What is the total energy in the third record? -4.831 eV/atom



E_form (uncorrected) of number 3 (NiTe2Mo)? 0.893 eV/atom